Record 1
# YAlTc2

A relaxed structure of YAlTc2 (GGA-PBEsol, Alexandria via LeMat-Bulk).

Its total magnetic moment is 0.0000 μB per atom. The density of states at the Fermi level is 8.86 states/eV per cell. As for the calculated formation energy: 0.67 eV per formula unit. The value obtained for the calculated total energy is -65.6 eV per cell.

Cell and atoms, written as CIF:
```
data_YAlTc2
_symmetry_space_group_name_H-M 'C 1 2/m 1'
_symmetry_Int_Tables_number 12
_cell_length_a 5.770
_cell_length_b 8.851
_cell_length_c 2.797
_cell_angle_alpha 90.00
_cell_angle_beta 112.54
_cell_angle_gamma 90.00
loop_
_symmetry_equiv_pos_as_xyz
'x,y,z'
'-x,-y,-z'
'-x,y,-z'
'x,-y,z'
'x+1/2,y+1/2,z'
'-x+1/2,-y+1/2,-z'
'-x+1/2,y+1/2,-z'
'x+1/2,-y+1/2,z'
loop_
_atom_site_label
_atom_site_type_symbol
_atom_site_fract_x
_atom_site_fract_y
_atom_site_fract_z
_atom_site_occupancy
Y1 Y 0.000 0.000 0.000 1
Al1 Al 0.000 0.500 0.000 1
Tc1 Tc 0.250 0.250 0.500 1
```

---

Record 2
# Pr

A relaxed structure of Pr (GGA-PBEsol, Alexandria via LeMat-Bulk).

Its total magnetic moment is 0.0002 μB per atom. The density of states at the Fermi level is 6.68 states/eV per cell. As for the calculated formation energy: 0.01 eV per formula unit. The value obtained for the calculated total energy is -20.7 eV per cell.

Cell and atoms, written as CIF:
```
data_Pr
_symmetry_space_group_name_H-M 'F m -3 m'
_symmetry_Int_Tables_number 225
_symmetry_space_group_name_Hall '-F 4 2 3'
_cell_length_a 5.135
_cell_length_b 5.135
_cell_length_c 5.135
_cell_angle_alpha 90.00
_cell_angle_beta 90.00
_cell_angle_gamma 90.00
loop_
_atom_site_label
_atom_site_type_symbol
_atom_site_fract_x
_atom_site_fract_y
_atom_site_fract_z
_atom_site_occupancy
Pr1 Pr 0.000 0.000 0.000 1
```

---

Record 3
# TlCoTc2

A relaxed structure of TlCoTc2 (GGA-PBEsol, Alexandria via LeMat-Bulk).

Its total magnetic moment is 0.1762 μB per atom. The density of states at the Fermi level is 11.32 states/eV per cell. As for the calculated formation energy: 2.25 eV per formula unit. The value obtained for the calculated total energy is -61.3 eV per cell.

Cell and atoms, written as CIF:
```
data_TlCoTc2
_symmetry_space_group_name_H-M 'I -4 m 2'
_symmetry_Int_Tables_number 119
_symmetry_space_group_name_Hall 'I -4 -2'
_cell_length_a 3.886
_cell_length_b 3.886
_cell_length_c 7.707
_cell_angle_alpha 90.00
_cell_angle_beta 90.00
_cell_angle_gamma 90.00
loop_
_atom_site_label
_atom_site_type_symbol
_atom_site_fract_x
_atom_site_fract_y
_atom_site_fract_z
_atom_site_occupancy
Tl1 Tl 0.000 0.000 0.000 1
Co1 Co 0.000 0.500 0.250 1
Tc1 Tc 0.000 0.000 0.500 1
Tc2 Tc 0.000 0.500 0.750 1
```

---

Record 4
# CaLa2Hg

A relaxed structure of CaLa2Hg (GGA-PBEsol, Alexandria via LeMat-Bulk).

Its total magnetic moment is 0.0001 μB per atom. The density of states at the Fermi level is 4.86 states/eV per cell. As for the calculated formation energy: -1.08 eV per formula unit. The value obtained for the calculated total energy is -14.5 eV per cell.

Cell and atoms, written as CIF:
```
data_CaLa2Hg
_symmetry_space_group_name_H-M 'P 4 m m'
_symmetry_Int_Tables_number 99
_cell_length_a 3.701
_cell_length_b 3.701
_cell_length_c 9.152
_cell_angle_alpha 90.00
_cell_angle_beta 90.00
_cell_angle_gamma 90.00
loop_
_symmetry_equiv_pos_as_xyz
'x,y,z'
'-y,x,z'
'-x,-y,z'
'y,-x,z'
'-x,y,z'
'y,x,z'
'x,-y,z'
'-y,-x,z'
loop_
_atom_site_label
_atom_site_type_symbol
_atom_site_fract_x
_atom_site_fract_y
_atom_site_fract_z
_atom_site_occupancy
Ca1 Ca 0.000 0.000 0.000 1
La1 La 0.000 0.000 0.420 1
La2 La 0.500 0.500 0.686 1
Hg1 Hg 0.500 0.500 0.199 1
```

---

Record 5
# Ba4CaSb

A relaxed structure of Ba4CaSb (GGA-PBEsol, Alexandria via LeMat-Bulk).

Its total magnetic moment is 0.0024 μB per atom. The density of states at the Fermi level is 34.83 states/eV per cell. The value obtained for the calculated total energy is -58.1 eV per cell.

Cell and atoms, written as CIF:
```
data_Ba4CaSb
_symmetry_space_group_name_H-M 'F -4 3 m'
_symmetry_Int_Tables_number 216
_symmetry_space_group_name_Hall 'F -4 2 3'
_cell_length_a 10.230
_cell_length_b 10.230
_cell_length_c 10.230
_cell_angle_alpha 90.00
_cell_angle_beta 90.00
_cell_angle_gamma 90.00
loop_
_atom_site_label
_atom_site_type_symbol
_atom_site_fract_x
_atom_site_fract_y
_atom_site_fract_z
_atom_site_occupancy
Ba1 Ba 0.123 0.123 0.377 1
Ca1 Ca 0.000 0.000 0.000 1
Sb1 Sb 0.250 0.250 0.750 1
```

---

Record 6
# TaOs2Ru

A relaxed structure of TaOs2Ru (GGA-PBEsol, Alexandria via LeMat-Bulk).

Its total magnetic moment is 0.0001 μB per atom. The density of states at the Fermi level is 7.56 states/eV per cell. As for the calculated formation energy: -0.37 eV per formula unit. The value obtained for the calculated total energy is -95.0 eV per cell.

Cell and atoms, written as CIF:
```
data_TaOs2Ru
_symmetry_space_group_name_H-M 'I 4/m m m'
_symmetry_Int_Tables_number 139
_symmetry_space_group_name_Hall '-I 4 2'
_cell_length_a 3.857
_cell_length_b 3.857
_cell_length_c 7.867
_cell_angle_alpha 90.00
_cell_angle_beta 90.00
_cell_angle_gamma 90.00
loop_
_atom_site_label
_atom_site_type_symbol
_atom_site_fract_x
_atom_site_fract_y
_atom_site_fract_z
_atom_site_occupancy
Ta1 Ta 0.000 0.000 0.000 1
Os1 Os 0.000 0.500 0.250 1
Ru1 Ru 0.000 0.000 0.500 1
```